The following is a DFT calculation (PBE+U) of crystalline MnP3NO9 at its relaxed geometry.

Geometry as POSCAR:
```
MnP3NO9
1.0
6.7406 0.0000 0.0000
-3.3703 5.8375 0.0000
0.0000 0.0000 9.8566
Mn P N O
2 6 2 18
Direct
0.0000 0.0000 0.0000 Mn
0.0000 0.0000 0.5000 Mn
0.3836 0.1177 0.2500 P
0.3836 0.2660 0.7500 P
0.7340 0.1177 0.7500 P
0.7340 0.6164 0.2500 P
0.8823 0.2660 0.2500 P
0.8823 0.6164 0.7500 P
0.3333 0.6667 0.0000 N
0.3333 0.6667 0.5000 N
0.2582 0.0167 0.1195 O
0.2582 0.0167 0.3805 O
0.2582 0.2416 0.6195 O
0.2582 0.2416 0.8805 O
0.4853 0.0940 0.7500 O
0.4853 0.3912 0.2500 O
0.6088 0.0940 0.2500 O
0.6088 0.5147 0.7500 O
0.7584 0.0167 0.6195 O
0.7584 0.0167 0.8805 O
0.7584 0.7418 0.1195 O
0.7584 0.7418 0.3805 O
0.9060 0.3912 0.7500 O
0.9060 0.5147 0.2500 O
0.9833 0.2416 0.1195 O
0.9833 0.2416 0.3805 O
0.9833 0.7418 0.6195 O
0.9833 0.7418 0.8805 O
```

Results
DOS(E_F) in states/eV per cell: 8.26
Magnetic moment in μB/atom: 0.5000
E_tot in eV per atom: -6.9480